Record 1
CrSiHgBi2 (PBE, optimized geometry); energy relative to the elements, uncorrected = 62.0 kJ per mole of atoms; uncorrected energy = -0.29250 Ry/atom; crystal system = tetragonal
1.0
5.502 0.000 0.000
0.000 4.747 0.000
0.000 0.000 5.502
Bi Si Cr Hg
2 1 1 1
Direct
0.500 0.000 0.000
0.000 0.000 0.500
0.000 0.000 0.000
0.000 0.500 0.000
0.500 0.500 0.500

Record 2
VCuPt2C (PBE, optimized geometry); ΔE_f = 2.22 eV per atom; uncorrected energy = -0.34406 Ry/atom; crystal system = tetragonal
1.0
-3.400 2.066 2.278
-0.002 -3.322 3.009
3.075 2.282 2.520
C Cu Pt V
1 1 2 1
Direct
0.500 0.500 0.500
0.000 0.500 0.000
0.500 0.000 0.000
0.000 0.000 0.500
0.000 0.000 0.000

Record 3
BaCd2Se (PBE, optimized geometry); energy relative to the elements, uncorrected = -58.3 kJ per mole of atoms; uncorrected energy = -0.17736 Ry/atom; crystal system = cubic
1.0
5.600 0.000 0.000
2.800 4.850 0.000
2.800 1.617 4.572
Se Cd Ba
1 2 1
Direct
0.750 0.750 0.750
0.000 0.000 0.000
0.250 0.250 0.250
0.500 0.500 0.500

Record 4
CsHoAu2 (PBE, optimized geometry); ΔE_f = -0.53 eV per atom; uncorrected energy = -0.25903 Ry/atom; crystal system = tetragonal
1.0
-0.925 -3.367 -1.402
3.257 -0.112 -1.879
3.729 -3.811 6.691
Au Ho Cs
2 1 1
Direct
0.000 0.000 0.828
0.000 0.000 0.172
0.500 0.500 0.000
0.500 0.500 0.500

Record 5
Co4Ni5Rh2 (PBE, optimized geometry); ΔE_f = 0.10 eV per atom; uncorrected energy = -0.47382 Ry/atom; crystal system = monoclinic
1.0
4.047 0.000 -0.989
-0.520 3.910 -2.128
0.005 -1.056 8.797
Rh Ni Co
2 5 4
Direct
0.399 0.263 0.798
0.601 0.737 0.202
0.211 0.814 0.423
0.868 0.866 0.736
0.789 0.186 0.577
0.500 0.000 0.000
0.132 0.134 0.264
0.035 0.345 0.071
0.304 0.536 0.608
0.696 0.464 0.392
0.965 0.655 0.929

Record 6
Cs5K12Pb2 (PBE, optimized geometry); ΔE_f = -0.01 eV per atom; uncorrected energy = -0.09677 Ry/atom; crystal system = monoclinic
1.0
-5.778 5.199 4.839
-8.585 -2.229 -7.857
1.358 -12.472 6.360
K Pb Cs
12 2 5
Direct
0.135 0.158 0.796
0.661 0.158 0.796
0.521 0.313 0.043
0.339 0.842 0.204
0.071 0.478 0.663
0.944 0.845 0.888
0.056 0.155 0.112
0.479 0.687 0.957
0.929 0.522 0.337
0.407 0.522 0.337
0.865 0.842 0.204
0.593 0.478 0.663
0.666 0.000 0.000
0.334 0.000 0.000
0.347 0.836 0.695
0.653 0.164 0.305
0.234 0.148 0.469
0.766 0.852 0.531
0.000 0.500 0.000

- What is the uncorrected energy in the fourth record?
  -0.25903 Ry/atom